(1)
# GGA-PBEsol ZnCoMo4, relaxed
# - formation energy from the elements (eV per atom) = 0.60
# - DFT total energy (hartree per atom) = -0.3233
data_ZnCoMo4
_chemical_formula_sum 'Zn4 Co4 Mo16'
_space_group_name_H-M_alt 'F -4 3 m'
_space_group_IT_number 216
_space_group_name_Hall 'F -4 2 3'
_cell_length_a 7.1664
_cell_length_b 7.1664
_cell_length_c 7.1664
_cell_angle_alpha 90.00
_cell_angle_beta 90.00
_cell_angle_gamma 90.00
loop_
_atom_site_label
_atom_site_type_symbol
_atom_site_fract_x
_atom_site_fract_y
_atom_site_fract_z
Zn1 Zn 0.0000 0.0000 0.0000
Co1 Co 0.2500 0.2500 0.7500
Mo1 Mo 0.1258 0.1258 0.3742


(2)
# GGA-PBEsol Mg5Ru, relaxed
# - formation energy from the elements (eV per atom) = 0.05
# - DFT total energy (hartree per atom) = -0.1130
data_Mg5Ru
_chemical_formula_sum 'Mg5 Ru1'
_space_group_name_H-M_alt 'P 4/m m m'
_space_group_IT_number 123
_space_group_name_Hall '-P 4 2'
_cell_length_a 3.3514
_cell_length_b 3.3514
_cell_length_c 10.2896
_cell_angle_alpha 90.00
_cell_angle_beta 90.00
_cell_angle_gamma 90.00
loop_
_atom_site_label
_atom_site_type_symbol
_atom_site_fract_x
_atom_site_fract_y
_atom_site_fract_z
Mg1 Mg 0.0000 0.0000 0.0000
Mg2 Mg 0.0000 0.0000 0.3719
Mg3 Mg 0.5000 0.5000 0.1968
Ru1 Ru 0.5000 0.5000 0.5000


(3)
# GGA-PBEsol TaFeP2, relaxed
# - formation energy from the elements (eV per atom) = -0.37
# - DFT total energy (hartree per atom) = -0.3178
data_TaFeP2
_chemical_formula_sum 'Ta2 Fe2 P4'
_space_group_name_H-M_alt 'C 1 2/m 1'
_space_group_IT_number 12
_cell_length_a 6.7161
_cell_length_b 3.0258
_cell_length_c 5.2872
_cell_angle_alpha 90.00
_cell_angle_beta 102.30
_cell_angle_gamma 90.00
loop_
_space_group_symop_operation_xyz
'x,y,z'
'-x,-y,-z'
'-x,y,-z'
'x,-y,z'
'x+1/2,y+1/2,z'
'-x+1/2,-y+1/2,-z'
'-x+1/2,y+1/2,-z'
'x+1/2,-y+1/2,z'
loop_
_atom_site_label
_atom_site_type_symbol
_atom_site_fract_x
_atom_site_fract_y
_atom_site_fract_z
Ta1 Ta 0.0000 0.0000 0.0000
Fe1 Fe 0.0000 0.5000 0.5000
P1 P 0.2410 0.0000 0.6948


(4)
# GGA-PBEsol ThSiNi, relaxed
# - DFT total energy (hartree per atom) = -0.2763
data_ThSiNi
_chemical_formula_sum 'Th4 Si4 Ni4'
_space_group_name_H-M_alt 'I 41 m d'
_space_group_IT_number 109
_space_group_name_Hall 'I 4bw -2'
_cell_length_a 4.0449
_cell_length_b 4.0449
_cell_length_c 13.8431
_cell_angle_alpha 90.00
_cell_angle_beta 90.00
_cell_angle_gamma 90.00
loop_
_atom_site_label
_atom_site_type_symbol
_atom_site_fract_x
_atom_site_fract_y
_atom_site_fract_z
Th1 Th 0.0000 0.0000 0.0000
Si1 Si 0.0000 0.0000 0.4200
Ni1 Ni 0.0000 0.0000 0.5893


(5)
# GGA-PBEsol Cu2AgPS4, relaxed
# - DFT total energy (hartree per atom) = -0.1722
data_Cu2AgPS4
_chemical_formula_sum 'Cu4 Ag2 P2 S8'
_space_group_name_H-M_alt 'P m n 21'
_space_group_IT_number 31
_cell_length_a 7.5073
_cell_length_b 6.2238
_cell_length_c 6.1188
_cell_angle_alpha 90.00
_cell_angle_beta 90.00
_cell_angle_gamma 90.00
loop_
_space_group_symop_operation_xyz
'x,y,z'
'-x+1/2,-y,z+1/2'
'-x,y,z'
'x+1/2,-y,z+1/2'
loop_
_atom_site_label
_atom_site_type_symbol
_atom_site_fract_x
_atom_site_fract_y
_atom_site_fract_z
Cu1 Cu 0.2480 0.1804 0.0000
Ag1 Ag 0.0000 0.3542 0.5013
P1 P 0.0000 0.6855 0.0093
S1 S 0.0000 0.3623 0.0992
S2 S 0.0000 0.7181 0.6708
S3 S 0.2249 0.8391 0.1334


(6)
# GGA-PBEsol Zr3BeSi, relaxed
# - DFT total energy (hartree per atom) = -0.2680
data_Zr3BeSi
_chemical_formula_sum 'Zr3 Be1 Si1'
_space_group_name_H-M_alt 'P m -3 m'
_space_group_IT_number 221
_space_group_name_Hall '-P 4 2 3'
_cell_length_a 4.5875
_cell_length_b 4.5875
_cell_length_c 4.5875
_cell_angle_alpha 90.00
_cell_angle_beta 90.00
_cell_angle_gamma 90.00
loop_
_atom_site_label
_atom_site_type_symbol
_atom_site_fract_x
_atom_site_fract_y
_atom_site_fract_z
Zr1 Zr 0.0000 0.0000 0.5000
Be1 Be 0.0000 0.0000 0.0000
Si1 Si 0.5000 0.5000 0.5000


Number 1: calculated volume 15.34 Å³/atom. Number 2: calculated volume 19.26 Å³/atom. Number 3: calculated volume 13.12 Å³/atom. Number 4: calculated volume 18.87 Å³/atom. Number 5: calculated volume 17.87 Å³/atom. Number 6: calculated volume 19.31 Å³/atom.